1.
Tb2PdO (PBE, relaxed); energy above the lowest structure with this stoichiometry = 47.1 kJ/mol of atoms; E_form (uncorrected) = -1.26 eV per atom
1.0
1.685 0.973 8.130
-1.685 0.973 8.130
0.000 -1.946 8.130
Tb Pd O
2 1 1
Direct
0.108 0.108 0.108
0.892 0.892 0.892
0.000 0.000 0.000
0.500 0.500 0.500

2.
Tb2PdO4 (PBE, relaxed); energy above the lowest structure with this stoichiometry = 0.0 kJ/mol of atoms; E_form (uncorrected) = -2.66 eV per atom
1.0
6.078 -2.810 0.000
6.078 2.810 0.000
0.000 0.000 5.615
Tb Pd O
4 2 8
Direct
0.159 0.159 0.000
0.341 0.341 0.500
0.659 0.659 0.500
0.841 0.841 0.000
0.000 0.000 0.500
0.500 0.500 0.000
0.010 0.490 0.750
0.177 0.823 0.823
0.323 0.677 0.323
0.490 0.010 0.250
0.510 0.990 0.750
0.677 0.323 0.677
0.823 0.177 0.177
0.990 0.510 0.250

> Among the records above, which one has the highest energy above the lowest structure with this stoichiometry?

Tb2PdO

> Which of these has the lowest energy above the lowest structure with this stoichiometry?

Tb2PdO4